<a>
Entry from Alexandria: an optimized crystal structure of NbCoSCl2 (PBE).

Values from the calculation:
The crystal system is tetragonal. For the calculated volume, the calculation gives 91.8 Å³ per cell. Its space group is No. 123.

Cell and atoms, written as POSCAR:
```
NbCoSCl2
1.0
4.4368 0.0000 0.0000
0.0000 4.4368 0.0000
0.0000 0.0000 4.6636
Nb Co S Cl
1 1 1 2
direct
0.5000 0.5000 0.5000 Nb
0.0000 0.0000 0.0000 Co
0.0000 0.0000 0.5000 S
0.0000 0.5000 0.0000 Cl
0.5000 0.0000 0.0000 Cl
```

***

<b>
Entry from Alexandria: an optimized crystal structure of NbCoSCl2 (PBE).

Values from the calculation:
The crystal system is tetragonal. For the calculated volume, the calculation gives 115.8 Å³ per cell. Its space group is No. 123.

Cell and atoms, written as POSCAR:
```
NbCoSCl2
1.0
4.8979 0.0000 0.0000
0.0000 4.8979 0.0000
0.0000 0.0000 4.8268
Nb Co S Cl
1 1 1 2
direct
0.0000 0.0000 0.0000 Nb
0.5000 0.5000 0.5000 Co
0.0000 0.0000 0.5000 S
0.0000 0.5000 0.0000 Cl
0.5000 0.0000 0.0000 Cl
```

***

Result of the stability comparison: <b> is the most stable of them.

***

<a>
Entry from Alexandria: an optimized crystal structure of Nd4CoCl5 (PBE).

Values from the calculation:
The crystal system is monoclinic. For the calculated volume, the calculation gives 315.7 Å³ per cell. Its space group is No. 12.

Cell and atoms, written as POSCAR:
```
Nd4CoCl5
1.0
3.8936 0.0000 -0.8562
0.0092 8.4439 0.0416
0.0672 -0.0001 9.5864
Nd Co Cl
4 1 5
direct
0.3541 0.0015 0.7081 Nd
0.0001 0.7782 0.0002 Nd
0.6459 0.9985 0.2919 Nd
0.9999 0.2218 0.9998 Nd
0.5000 0.0000 0.0000 Co
0.8425 0.7631 0.6850 Cl
0.8424 0.2400 0.6849 Cl
0.1576 0.7600 0.3151 Cl
0.5000 0.5000 0.0000 Cl
0.1575 0.2369 0.3150 Cl
```

***

<b>
Entry from Alexandria: an optimized crystal structure of Nd4CoCl5 (PBE).

Values from the calculation:
The crystal system is monoclinic. For the calculated volume, the calculation gives 299.6 Å³ per cell. Its space group is No. 12.

Cell and atoms, written as POSCAR:
```
Nd4CoCl5
1.0
-1.2584 -3.0862 -2.1722
-2.3214 -3.9969 7.0235
-6.7895 6.4823 -1.6335
Nd Co Cl
4 1 5
direct
0.3468 0.8933 0.6935 Nd
0.0023 0.7818 0.0046 Nd
0.6532 0.1067 0.3065 Nd
0.9977 0.2182 0.9954 Nd
0.5000 0.0000 0.0000 Co
0.8353 0.6479 0.6706 Cl
0.8272 0.1302 0.6544 Cl
0.1728 0.8698 0.3456 Cl
0.5000 0.5000 0.0000 Cl
0.1647 0.3521 0.3294 Cl
```

***

Result of the stability comparison: <b> is the most stable of them.

***

<a>
Entry from Alexandria: an optimized crystal structure of Co2NiCl (PBE).

Values from the calculation:
The crystal system is cubic. For the calculated volume, the calculation gives 50.0 Å³ per cell. Its space group is No. 225.

Cell and atoms, written as POSCAR:
```
Co2NiCl
1.0
0.0000 2.9242 2.9242
2.9242 0.0000 2.9242
2.9242 2.9242 0.0000
Ni Co Cl
1 2 1
direct
0.5000 0.5000 0.5000 Ni
0.2500 0.2500 0.2500 Co
0.7500 0.7500 0.7500 Co
0.0000 0.0000 0.0000 Cl
```

***

<b>
Entry from Alexandria: an optimized crystal structure of Co2NiCl (PBE).

Values from the calculation:
The crystal system is orthorhombic. For the calculated volume, the calculation gives 50.2 Å³ per cell. Its space group is No. 65.

Cell and atoms, written as POSCAR:
```
Co2NiCl
1.0
4.4465 -0.1427 0.0000
-1.6028 4.1500 0.0000
0.0000 0.0000 2.7554
Ni Co Cl
1 2 1
direct
0.5000 0.0000 0.5000 Ni
0.0000 0.0000 0.0000 Co
0.5000 0.5000 0.0000 Co
0.0000 0.5000 0.5000 Cl
```

***

Result of the stability comparison: <b> is the most stable of them.

***

<a>
Entry from Alexandria: an optimized crystal structure of Co2NiCl (PBE).

Values from the calculation:
The crystal system is monoclinic. For the calculated volume, the calculation gives 50.6 Å³ per cell. Its space group is No. 12.

Cell and atoms, written as POSCAR:
```
Co2NiCl
1.0
-1.1895 2.0635 4.1356
-3.2053 -2.7567 -2.2141
-0.1682 -2.1897 1.7157
Ni Co Cl
1 2 1
direct
0.5000 0.0000 0.5000 Ni
0.0000 0.0000 0.0000 Co
0.5000 0.5000 0.0000 Co
0.0000 0.5000 0.5000 Cl
```

***

<b>
Entry from Alexandria: an optimized crystal structure of Co2NiCl (PBE).

Values from the calculation:
The crystal system is cubic. For the calculated volume, the calculation gives 50.8 Å³ per cell. Its space group is No. 216.

Cell and atoms, written as POSCAR:
```
Co2NiCl
1.0
4.1558 0.0000 0.0000
2.0779 3.5990 0.0000
2.0779 1.1997 3.3932
Ni Co Cl
1 2 1
direct
0.7500 0.7500 0.7500 Ni
0.0000 0.0000 0.0000 Co
0.2500 0.2500 0.2500 Co
0.5000 0.5000 0.5000 Cl
```

***

<c>
Entry from Alexandria: an optimized crystal structure of Co2NiCl (PBE).

Values from the calculation:
The crystal system is tetragonal. For the calculated volume, the calculation gives 51.0 Å³ per cell. Its space group is No. 123.

Cell and atoms, written as POSCAR:
```
Co2NiCl
1.0
-3.6393 -2.0327 -0.3921
0.5605 -1.5929 3.0554
-1.6326 2.6033 1.6567
Ni Co Cl
1 2 1
direct
0.5000 0.5000 0.0000 Ni
0.0000 0.0000 0.0000 Co
0.0000 0.5000 0.5000 Co
0.5000 0.0000 0.5000 Cl
```

***

<d>
Entry from Alexandria: an optimized crystal structure of Co2NiCl (PBE).

Values from the calculation:
The crystal system is tetragonal. For the calculated volume, the calculation gives 53.6 Å³ per cell. Its space group is No. 123.

Cell and atoms, written as POSCAR:
```
Co2NiCl
1.0
2.9685 0.1169 0.0000
-0.1200 2.9684 0.0000
0.0000 0.0000 6.0694
Ni Co Cl
1 2 1
direct
0.5000 0.5000 0.2500 Ni
0.0000 0.0000 0.0465 Co
0.0000 0.0000 0.4535 Co
0.5000 0.5000 0.7500 Cl
```

***

Result of the stability comparison: <d> is the most stable of them.

***

<a>
Entry from Alexandria: an optimized crystal structure of Co2NiCl (PBE).

Values from the calculation:
The crystal system is tetragonal. For the calculated volume, the calculation gives 50.2 Å³ per cell. Its space group is No. 119.

Cell and atoms, written as POSCAR:
```
Co2NiCl
1.0
4.4337 -0.0592 0.0000
1.2998 4.2393 0.0000
-2.8667 -2.0901 2.6598
Ni Co Cl
1 2 1
direct
0.5000 0.5000 0.0000 Ni
0.0000 0.0000 0.0000 Co
0.2500 0.7500 0.5000 Co
0.7500 0.2500 0.5000 Cl
```

***

<b>
Entry from Alexandria: an optimized crystal structure of Co2NiCl (PBE).

Values from the calculation:
The crystal system is orthorhombic. For the calculated volume, the calculation gives 50.3 Å³ per cell. Its space group is No. 47.

Cell and atoms, written as POSCAR:
```
Co2NiCl
1.0
-1.0953 2.4454 0.6182
0.8750 -0.6325 4.0524
3.8992 1.8849 -0.5478
Ni Co Cl
1 2 1
direct
0.5000 0.0000 0.5000 Ni
0.0000 0.0000 0.0000 Co
0.5000 0.5000 0.0000 Co
0.0000 0.5000 0.5000 Cl
```

***

Result of the stability comparison: <b> is the most stable of them.

***

<a>
Entry from Alexandria: an optimized crystal structure of Co2NiCl (PBE).

Values from the calculation:
The crystal system is tetragonal. For the calculated volume, the calculation gives 140.3 Å³ per cell. Its space group is No. 122.

Cell and atoms, written as POSCAR:
```
Co2NiCl
1.0
5.4186 0.0000 0.0000
0.0000 5.4186 0.0000
2.7093 2.7093 4.7793
Ni Co Cl
2 4 2
direct
0.0000 0.0000 0.0000 Ni
0.7500 0.2500 0.5000 Ni
0.6323 0.1250 0.2500 Co
0.1177 0.6250 0.2500 Co
0.3750 0.3677 0.7500 Co
0.8750 0.8823 0.7500 Co
0.5000 0.5000 0.0000 Cl
0.2500 0.7500 0.5000 Cl
```

***

<b>
Entry from Alexandria: an optimized crystal structure of Co2NiCl (PBE).

Values from the calculation:
The crystal system is tetragonal. For the calculated volume, the calculation gives 49.8 Å³ per cell. Its space group is No. 123.

Cell and atoms, written as POSCAR:
```
Co2NiCl
1.0
4.2434 0.0000 0.0000
0.0000 4.2434 0.0000
0.0000 0.0000 2.7671
Ni Co Cl
1 2 1
direct
0.5000 0.0000 0.5000 Ni
0.0000 0.0000 0.0000 Co
0.5000 0.5000 0.0000 Co
0.0000 0.5000 0.5000 Cl
```

***

Result of the stability comparison: <b> is the most stable of them.

***

<a>
Entry from Alexandria: an optimized crystal structure of Co2NiCl (PBE).

Values from the calculation:
The crystal system is monoclinic. For the calculated volume, the calculation gives 64.2 Å³ per cell. Its space group is No. 8.

Cell and atoms, written as POSCAR:
```
Co2NiCl
1.0
3.9332 -0.0195 -0.1335
2.9300 2.6240 -0.1335
0.6015 0.2283 6.1651
Ni Co Cl
1 2 1
direct
0.4188 0.4188 0.5850 Ni
0.9562 0.9562 0.9304 Co
0.6897 0.6897 0.7573 Co
0.4353 0.4353 0.2273 Cl
```

***

<b>
Entry from Alexandria: an optimized crystal structure of Co2NiCl (PBE).

Values from the calculation:
The crystal system is monoclinic. For the calculated volume, the calculation gives 55.9 Å³ per cell. Its space group is No. 6.

Cell and atoms, written as POSCAR:
```
Co2NiCl
1.0
-2.6314 0.9561 -0.4733
-0.8649 -1.0179 2.7523
1.5895 5.6615 2.5995
Ni Co Cl
1 2 1
direct
0.0000 0.7491 0.4498 Ni
0.0000 0.7499 0.0530 Co
0.5000 0.2495 0.2446 Co
0.5000 0.7515 0.7527 Cl
```

***

<c>
Entry from Alexandria: an optimized crystal structure of Co2NiCl (PBE).

Values from the calculation:
The crystal system is orthorhombic. For the calculated volume, the calculation gives 49.5 Å³ per cell. Its space group is No. 71.

Cell and atoms, written as POSCAR:
```
Co2NiCl
1.0
4.9705 0.0106 -0.0021
2.4456 4.3272 0.0021
-3.2151 -3.0116 2.3020
Ni Co Cl
1 2 1
direct
0.7500 0.2500 0.5000 Ni
0.0191 0.0191 0.0000 Co
0.4809 0.4809 0.0000 Co
0.2500 0.7500 0.5000 Cl
```

***

<d>
Entry from Alexandria: an optimized crystal structure of Co2NiCl (PBE).

Values from the calculation:
The crystal system is orthorhombic. For the calculated volume, the calculation gives 56.9 Å³ per cell. Its space group is No. 47.

Cell and atoms, written as POSCAR:
```
Co2NiCl
1.0
2.9512 0.0000 0.0000
0.0000 3.0838 -0.0054
0.0000 0.0126 6.2541
Ni Co Cl
1 2 1
direct
0.5000 0.2500 0.2500 Ni
0.0000 0.7500 0.0593 Co
0.0000 0.7500 0.4407 Co
0.5000 0.7500 0.7500 Cl
```

***

Result of the stability comparison: <b> is the most stable of them.

***

<a>
Entry from Alexandria: an optimized crystal structure of Co2NiCl (PBE).

Values from the calculation:
The crystal system is orthorhombic. For the calculated volume, the calculation gives 52.9 Å³ per cell. Its space group is No. 35.

Cell and atoms, written as POSCAR:
```
Co2NiCl
1.0
2.8224 0.7742 0.0000
-0.7807 2.8206 0.0000
0.0000 0.0000 6.1767
Ni Co Cl
1 2 1
direct
0.0000 0.0000 0.4649 Ni
0.0000 0.0000 0.0443 Co
0.5000 0.5000 0.2457 Co
0.5000 0.5000 0.7452 Cl
```

***

<b>
Entry from Alexandria: an optimized crystal structure of Co2NiCl (PBE).

Values from the calculation:
The crystal system is orthorhombic. For the calculated volume, the calculation gives 49.8 Å³ per cell. Its space group is No. 44.

Cell and atoms, written as POSCAR:
```
Co2NiCl
1.0
-2.9997 3.7871 1.0526
-4.1975 0.4514 -2.5740
2.7442 -2.7428 3.0650
Ni Co Cl
1 2 1
direct
0.4868 0.4868 0.0000 Ni
0.0110 0.0110 0.0000 Co
0.7644 0.2644 0.5000 Co
0.2379 0.7379 0.5000 Cl
```

***

<c>
Entry from Alexandria: an optimized crystal structure of Co2NiCl (PBE).

Values from the calculation:
The crystal system is trigonal. For the calculated volume, the calculation gives 50.8 Å³ per cell. Its space group is No. 166.

Cell and atoms, written as POSCAR:
```
Co2NiCl
1.0
7.7529 0.0013 0.0008
7.2534 2.7377 0.0008
7.2534 1.3239 2.3963
Ni Co Cl
1 2 1
direct
0.2500 0.2500 0.2500 Ni
0.0000 0.0000 0.0000 Co
0.5000 0.5000 0.5000 Co
0.7500 0.7500 0.7500 Cl
```

***

Result of the stability comparison: <a> is the most stable of them.

***

<a>
Entry from Alexandria: an optimized crystal structure of CoNiCl (PBE).

Values from the calculation:
The crystal system is trigonal. For the calculated volume, the calculation gives 41.2 Å³ per cell. Its space group is No. 156.

Cell and atoms, written as POSCAR:
```
CoNiCl
1.0
2.9529 0.0000 0.0000
-1.4765 2.5573 0.0000
0.0000 0.0000 5.4567
Ni Co Cl
1 1 1
direct
0.3333 0.6667 0.6546 Ni
0.6667 0.3333 0.3377 Co
0.0000 0.0000 0.0077 Cl
```

***

<b>
Entry from Alexandria: an optimized crystal structure of CoNiCl (PBE).

Values from the calculation:
The crystal system is cubic. For the calculated volume, the calculation gives 44.5 Å³ per cell. Its space group is No. 216.

Cell and atoms, written as POSCAR:
```
CoNiCl
1.0
-3.2857 1.9707 1.0720
-0.9750 0.2985 3.8457
0.2999 3.5030 1.8622
Ni Co Cl
1 1 1
direct
0.0000 0.0000 0.0000 Ni
0.7500 0.7500 0.7500 Co
0.5000 0.5000 0.5000 Cl
```

***

<c>
Entry from Alexandria: an optimized crystal structure of CoNiCl (PBE).

Values from the calculation:
The crystal system is cubic. For the calculated volume, the calculation gives 46.0 Å³ per cell. Its space group is No. 216.

Cell and atoms, written as POSCAR:
```
CoNiCl
1.0
-1.5406 2.2511 2.9570
-3.2639 -1.2532 1.9902
0.3169 -1.2106 3.8235
Ni Co Cl
1 1 1
direct
0.7500 0.7500 0.7500 Ni
0.5000 0.5000 0.5000 Co
0.0000 0.0000 0.0000 Cl
```

***

Result of the stability comparison: <a> is the most stable of them.

***

<a>
Entry from Alexandria: an optimized crystal structure of CoNiP2Cl (PBE).

Values from the calculation:
The crystal system is tetragonal. For the calculated volume, the calculation gives 100.3 Å³ per cell. Its space group is No. 123.

Cell and atoms, written as POSCAR:
```
CoNiP2Cl
1.0
-1.7191 -0.6788 -3.7016
3.7294 -0.8521 -1.5758
-0.7135 -5.6531 1.3680
Ni Co P Cl
1 1 2 1
direct
0.0000 0.0000 0.0000 Ni
0.5000 0.5000 0.5000 Co
0.0000 0.5000 0.0000 P
0.5000 0.0000 0.0000 P
0.0000 0.0000 0.5000 Cl
```

***

<b>
Entry from Alexandria: an optimized crystal structure of CoNiP2Cl (PBE).

Values from the calculation:
The crystal system is tetragonal. For the calculated volume, the calculation gives 86.9 Å³ per cell. Its space group is No. 123.

Cell and atoms, written as POSCAR:
```
CoNiP2Cl
1.0
4.2171 0.0000 0.0000
0.0000 4.2171 0.0000
0.0000 0.0000 4.8845
Ni Co P Cl
1 1 2 1
direct
0.5000 0.5000 0.5000 Ni
0.0000 0.0000 0.0000 Co
0.0000 0.5000 0.0000 P
0.5000 0.0000 0.0000 P
0.0000 0.0000 0.5000 Cl
```

***

Result of the stability comparison: <b> is the most stable of them.